The following is a DFT calculation (PBE) of TbThRu after structural relaxation.

## Properties
energy relative to the lowest polymorph listed for this composition = 98.6 meV/atom
space group = I4mm (107)
DFT formation energy = -0.2329 eV/atom
total DFT energy (no corrections) = -7.342 eV per atom
size of the total moment = 0.000 μB/cell

The structure in POSCAR format:
```
TbThRu
1.0
-2.823 1.897 -1.078
-1.884 -1.230 2.769
4.142 4.155 2.367
Th Ru Tb
1 1 1
Cartesian
1.087 2.728 1.952
-1.712 1.942 1.997
0.060 0.151 0.108
```


The following is a DFT calculation (PBE) of Na2YCuF8 after structural relaxation.

## Properties
formation energy (no corrections) = -2747 meV per atom
space group = P-1 (2)
total DFT energy (no corrections) = -5.094 eV per atom
size of the total moment = 0.150 μB/cell

The structure in POSCAR format:
```
Na2YCuF8
1.0
-0.827 3.035 1.909
-1.431 -3.240 3.956
8.321 0.684 2.440
F Na Cu Y
8 2 1 1
Cartesian
7.412 1.005 3.961
-1.348 -0.526 4.344
5.525 -2.028 5.377
3.259 -0.712 5.529
0.538 2.507 2.928
2.804 1.190 2.776
4.389 2.450 4.780
1.674 -1.971 3.525
5.241 0.347 4.938
0.822 0.132 3.367
0.000 0.000 0.000
4.160 0.342 1.220
```


The following is a DFT calculation (PBE) of NdCdGaPd3 after structural relaxation.

## Properties
space group = Cmcm (63)
DFT formation energy = -0.4542 eV/atom
total DFT energy (no corrections) = -4.502 eV per atom
size of the total moment = 0.000 μB/cell

The structure in POSCAR format:
```
NdCdGaPd3
1.0
-1.802 -3.441 4.318
5.934 -3.761 -0.521
-0.250 5.599 4.357
Cd Pd Ga Nd
2 6 2 2
Cartesian
4.908 0.532 4.425
-1.026 -2.135 3.729
0.472 0.402 2.470
3.410 -2.005 5.684
0.897 -2.860 2.001
4.135 -2.621 -0.363
1.798 -1.140 -0.158
3.235 -4.342 1.796
2.317 -3.501 4.036
1.565 1.898 4.119
0.328 -0.282 5.772
3.553 -1.321 2.383
```


The following is a DFT calculation (PBE) of NdGdTmHg after structural relaxation.

## Properties
space group = F-43m (216)
DFT formation energy = -0.0850 eV/atom
total DFT energy (no corrections) = -5.991 eV per atom
size of the total moment = 7.904 μB/cell

The structure in POSCAR format:
```
NdGdTmHg
1.0
5.465 0.000 0.000
2.732 4.733 0.000
2.732 1.578 4.462
Nd Hg Tm Gd
1 1 1 1
Cartesian
8.197 4.733 3.346
5.465 3.155 2.231
0.000 0.000 0.000
2.732 1.578 1.115
```


The following is a DFT calculation (PBE) of Li5AlSi2 after structural relaxation.

## Properties
formation energy (no corrections) = -90 meV per atom
space group = P6_3/mmc (194)
total DFT energy (no corrections) = -3.110 eV per atom
size of the total moment = 0.000 μB/cell

The structure in POSCAR format:
```
Li5AlSi2
1.0
-2.768 2.968 -2.216
0.800 -4.190 -1.786
-12.568 -5.788 7.948
Al Si Li
2 4 10
Cartesian
-3.531 -3.251 0.058
-11.005 -3.759 3.888
-9.186 -2.921 2.738
-5.350 -4.088 1.208
-12.823 -4.596 5.038
-1.713 -2.413 -1.092
-12.235 -7.259 5.562
-7.141 -1.979 1.445
-1.721 -0.793 1.088
-4.721 -0.865 -0.086
-2.301 0.250 -1.616
-4.563 -2.101 2.885
-10.847 -4.995 6.859
-9.815 -6.145 4.032
-8.005 -3.686 5.062
-7.395 -5.030 2.501
```


The following is a DFT calculation (PBE) of Y2HoEr6 after structural relaxation.

## Properties
energy relative to the lowest polymorph listed for this composition = 22.2 meV/atom
space group = P4_2/mnm (136)
DFT formation energy = 0.0251 eV/atom
total DFT energy (no corrections) = -4.962 eV per atom
size of the total moment = 0.000 μB/cell

The structure in POSCAR format:
```
Y2HoEr6
1.0
0.158 1.270 4.820
-1.750 -10.064 2.709
10.417 -1.777 0.126
Ho Er Y
2 12 4
Cartesian
5.208 -0.888 0.063
-0.796 -4.397 3.764
1.727 -0.297 0.022
7.098 -10.274 7.633
2.685 -4.994 3.807
6.732 -2.228 2.946
2.093 -8.343 4.709
-1.377 -7.761 4.669
4.205 -6.320 6.686
10.203 -2.810 2.986
4.620 -4.251 0.969
1.154 -3.649 0.924
7.671 -6.922 6.731
6.140 -5.577 3.848
5.565 -8.937 4.751
0.728 -5.735 6.646
8.097 -4.836 1.009
3.261 -1.634 2.904
```


Please write out number 6 again, unchanged.
The following is a DFT calculation (PBE) of Y2HoEr6 after structural relaxation.

## Properties
energy relative to the lowest polymorph listed for this composition = 22.2 meV/atom
space group = P4_2/mnm (136)
DFT formation energy = 0.0251 eV/atom
total DFT energy (no corrections) = -4.962 eV per atom
size of the total moment = 0.000 μB/cell

The structure in POSCAR format:
```
Y2HoEr6
1.0
0.158 1.270 4.820
-1.750 -10.064 2.709
10.417 -1.777 0.126
Ho Er Y
2 12 4
Cartesian
5.208 -0.888 0.063
-0.796 -4.397 3.764
1.727 -0.297 0.022
7.098 -10.274 7.633
2.685 -4.994 3.807
6.732 -2.228 2.946
2.093 -8.343 4.709
-1.377 -7.761 4.669
4.205 -6.320 6.686
10.203 -2.810 2.986
4.620 -4.251 0.969
1.154 -3.649 0.924
7.671 -6.922 6.731
6.140 -5.577 3.848
5.565 -8.937 4.751
0.728 -5.735 6.646
8.097 -4.836 1.009
3.261 -1.634 2.904
```